Entry from OQMD: a geometry-optimized HfZrCu2Si4 structure (GGA-PBE).

Geometry as extended XYZ:
```
8
Lattice="3.686 0.000 0.000 0.000 3.686 0.000 0.000 0.000 9.025" Properties=species:S:1:pos:R:3 pbc="T T T"
Hf 0.000 0.000 0.000
Zr 1.843 1.843 4.222
Cu 0.000 1.843 6.649
Cu 1.843 0.000 6.649
Si 0.000 0.000 5.085
Si 0.000 1.843 2.097
Si 1.843 0.000 2.097
Si 1.843 1.843 8.213
```

Summary:
- DFT total energy: -51.6 eV per cell